(1)
## LiMn2Os (SCAN)

Data for LiMn2Os at its PBEsol-relaxed geometry.

## Properties
**Total moment**: 0.00 μB/cell
**Calculated formation energy**: 121 kJ/mol of formula units

```
data_LiMn2Os
_chemical_formula_sum 'Li2 Mn4 Os2'
_cell_length_a 2.793
_cell_length_b 3.922
_cell_length_c 8.087
_cell_angle_alpha 90.00
_cell_angle_beta 90.00
_cell_angle_gamma 90.00
_symmetry_space_group_name_H-M 'I m m m'
_symmetry_Int_Tables_number 71
_symmetry_space_group_name_Hall '-I 2 2'
loop_
_atom_site_label
_atom_site_fract_x
_atom_site_fract_y
_atom_site_fract_z
Li1 0.000 0.000 0.000
Mn1 0.000 0.500 0.250
Os1 0.000 0.000 0.500
```

(2)
## Mg2BeAs (SCAN)

Data for Mg2BeAs at its PBEsol-relaxed geometry.

## Properties
**Energy above the lowest structure with this stoichiometry**: 0.00 kcal/mol of atoms
**Total moment**: 0.18 μB/cell
**Calculated formation energy**: 14 kJ/mol of formula units

```
data_Mg2BeAs
_chemical_formula_sum 'Mg2 Be1 As1'
_cell_length_a 4.196
_cell_length_b 4.196
_cell_length_c 3.802
_cell_angle_alpha 90.00
_cell_angle_beta 90.00
_cell_angle_gamma 90.00
_symmetry_space_group_name_H-M 'P 4/m m m'
_symmetry_Int_Tables_number 123
_symmetry_space_group_name_Hall '-P 4 2'
loop_
_atom_site_label
_atom_site_fract_x
_atom_site_fract_y
_atom_site_fract_z
Mg1 0.000 0.500 0.000
Be1 0.000 0.000 0.500
As1 0.500 0.500 0.500
```

(3)
## Cs2CuAuCl6 (SCAN)

Data for Cs2CuAuCl6 at its PBEsol-relaxed geometry.

## Properties
**Raw formation energy**: -1.208 eV/atom
**Total moment**: 0.00 μB/cell

```
data_Cs2CuAuCl6
_chemical_formula_sum 'Cs8 Cu4 Au4 Cl24'
_cell_length_a 9.920
_cell_length_b 9.920
_cell_length_c 9.920
_cell_angle_alpha 90.00
_cell_angle_beta 90.00
_cell_angle_gamma 90.00
_symmetry_space_group_name_H-M 'F m -3 m'
_symmetry_Int_Tables_number 225
_symmetry_space_group_name_Hall '-F 4 2 3'
loop_
_atom_site_label
_atom_site_fract_x
_atom_site_fract_y
_atom_site_fract_z
Cs1 0.250 0.250 0.250
Cu1 0.000 0.000 0.000
Au1 0.000 0.000 0.500
Cl1 0.000 0.000 0.243
```

(4)
## Sc2InTc (SCAN)

Data for Sc2InTc at its PBEsol-relaxed geometry.

## Properties
**Total moment**: 0.00 μB/cell
**Calculated formation energy**: -73 kJ/mol of formula units

```
data_Sc2InTc
_chemical_formula_sum 'Sc8 In4 Tc4'
_cell_length_a 6.644
_cell_length_b 6.644
_cell_length_c 6.644
_cell_angle_alpha 90.00
_cell_angle_beta 90.00
_cell_angle_gamma 90.00
_symmetry_space_group_name_H-M 'F -4 3 m'
_symmetry_Int_Tables_number 216
_symmetry_space_group_name_Hall 'F -4 2 3'
loop_
_atom_site_label
_atom_site_fract_x
_atom_site_fract_y
_atom_site_fract_z
Sc1 0.000 0.000 0.000
Sc2 0.250 0.250 0.250
In1 0.250 0.250 0.750
Tc1 0.000 0.000 0.500
```

(5)
## CrBi2Ir (SCAN)

Data for CrBi2Ir at its PBEsol-relaxed geometry.

## Properties
**Total moment**: 17.49 μB/cell
**Calculated formation energy**: 197 kJ/mol of formula units

```
data_CrBi2Ir
_chemical_formula_sum 'Cr4 Bi8 Ir4'
_cell_length_a 7.771
_cell_length_b 7.771
_cell_length_c 6.064
_cell_angle_alpha 90.00
_cell_angle_beta 90.00
_cell_angle_gamma 90.00
_symmetry_space_group_name_H-M 'I -4 2 d'
_symmetry_Int_Tables_number 122
_symmetry_space_group_name_Hall 'I -4 2bw'
loop_
_atom_site_label
_atom_site_fract_x
_atom_site_fract_y
_atom_site_fract_z
Cr1 0.000 0.000 0.000
Bi1 0.219 0.750 0.625
Ir1 0.000 0.000 0.500
```

(6)
## CsTbMo2O8 (SCAN)

Data for CsTbMo2O8 at its PBEsol-relaxed geometry.

## Properties
**Raw formation energy**: -2.618 eV/atom
**Total moment**: 0.00 μB/cell

```
data_CsTbMo2O8
_chemical_formula_sum 'Cs4 Tb4 Mo8 O32'
_cell_length_a 10.644
_cell_length_b 10.480
_cell_length_c 7.649
_cell_angle_alpha 90.00
_cell_angle_beta 130.61
_cell_angle_gamma 90.00
_symmetry_space_group_name_H-M 'C 1 2/c 1'
_symmetry_Int_Tables_number 15
loop_
_symmetry_equiv_pos_as_xyz
'x,y,z'
'-x,-y,-z'
'-x,y,-z+1/2'
'x,-y,z+1/2'
'x+1/2,y+1/2,z'
'-x+1/2,-y+1/2,-z'
'-x+1/2,y+1/2,-z+1/2'
'x+1/2,-y+1/2,z+1/2'
loop_
_atom_site_label
_atom_site_fract_x
_atom_site_fract_y
_atom_site_fract_z
Cs1 0.000 0.195 0.250
Tb1 0.000 0.230 0.750
Mo1 0.194 0.498 0.733
O1 0.024 0.393 0.970
O2 0.133 0.078 0.702
O3 0.186 0.430 0.432
O4 0.229 0.158 0.129
```

(7)
## Er2AgPt (SCAN)

Data for Er2AgPt at its PBEsol-relaxed geometry.

## Properties
**Total moment**: 0.00 μB/cell
**Calculated formation energy**: -375 kJ/mol of formula units

```
data_Er2AgPt
_chemical_formula_sum 'Er8 Ag4 Pt4'
_cell_length_a 6.919
_cell_length_b 6.919
_cell_length_c 6.919
_cell_angle_alpha 90.00
_cell_angle_beta 90.00
_cell_angle_gamma 90.00
_symmetry_space_group_name_H-M 'F m -3 m'
_symmetry_Int_Tables_number 225
_symmetry_space_group_name_Hall '-F 4 2 3'
loop_
_atom_site_label
_atom_site_fract_x
_atom_site_fract_y
_atom_site_fract_z
Er1 0.250 0.250 0.250
Ag1 0.000 0.000 0.000
Pt1 0.000 0.000 0.500
```

(8)
## LiSiAs (SCAN)

Data for LiSiAs at its PBEsol-relaxed geometry.

## Properties
**Raw formation energy**: 0.195 eV/atom
**Energy above the lowest structure with this stoichiometry**: 9.55 kcal/mol of atoms
**Total moment**: 0.76 μB/cell

```
data_LiSiAs
_chemical_formula_sum 'Li4 Si4 As4'
_cell_length_a 6.126
_cell_length_b 6.126
_cell_length_c 6.126
_cell_angle_alpha 90.00
_cell_angle_beta 90.00
_cell_angle_gamma 90.00
_symmetry_space_group_name_H-M 'F -4 3 m'
_symmetry_Int_Tables_number 216
_symmetry_space_group_name_Hall 'F -4 2 3'
loop_
_atom_site_label
_atom_site_fract_x
_atom_site_fract_y
_atom_site_fract_z
Li1 0.000 0.000 0.000
Si1 0.250 0.250 0.750
As1 0.000 0.000 0.500
```

(9)
## BiMoH3 (SCAN)

Data for BiMoH3 at its PBEsol-relaxed geometry.

## Properties
**Energy above the lowest structure with this stoichiometry**: 21.99 kcal/mol of atoms
**Total moment**: 5.04 μB/cell

```
data_BiMoH3
_chemical_formula_sum 'Bi1 Mo1 H3'
_cell_length_a 4.114
_cell_length_b 4.114
_cell_length_c 4.114
_cell_angle_alpha 90.00
_cell_angle_beta 90.00
_cell_angle_gamma 90.00
_symmetry_space_group_name_H-M 'P m -3 m'
_symmetry_Int_Tables_number 221
_symmetry_space_group_name_Hall '-P 4 2 3'
loop_
_atom_site_label
_atom_site_fract_x
_atom_site_fract_y
_atom_site_fract_z
Bi1 0.000 0.000 0.000
Mo1 0.500 0.500 0.500
H1 0.000 0.000 0.500
```

(10)
## Y5PPb3 (SCAN)

Data for Y5PPb3 at its PBEsol-relaxed geometry.

## Properties
**Total moment**: 0.00 μB/cell
**Calculated formation energy**: -975 kJ/mol of formula units

```
data_Y5PPb3
_chemical_formula_sum 'Y10 P2 Pb6'
_cell_length_a 9.0284
_cell_length_b 9.0284
_cell_length_c 6.6845
_cell_angle_alpha 90.00
_cell_angle_beta 90.00
_cell_angle_gamma 120.00
_symmetry_space_group_name_H-M 'P 63/m c m'
_symmetry_Int_Tables_number 193
_symmetry_space_group_name_Hall '-P 6c 2'
loop_
_atom_site_label
_atom_site_fract_x
_atom_site_fract_y
_atom_site_fract_z
Y1 0.0000 0.2385 0.2500
Y2 0.3333 0.6667 0.0000
P1 0.0000 0.0000 0.0000
Pb1 0.0000 0.4000 0.7500
```

(11)
## Ta2Nb2Al (SCAN)

Data for Ta2Nb2Al at its PBEsol-relaxed geometry.

## Properties
**Total moment**: 0.00 μB/cell
**Calculated formation energy**: 351 kJ/mol of formula units

```
data_Ta2Nb2Al
_chemical_formula_sum 'Ta4 Nb4 Al2'
_cell_length_a 3.735
_cell_length_b 3.735
_cell_length_c 13.673
_cell_angle_alpha 90.00
_cell_angle_beta 90.00
_cell_angle_gamma 90.00
_symmetry_space_group_name_H-M 'I 4/m m m'
_symmetry_Int_Tables_number 139
_symmetry_space_group_name_Hall '-I 4 2'
loop_
_atom_site_label
_atom_site_fract_x
_atom_site_fract_y
_atom_site_fract_z
Ta1 0.000 0.000 0.090
Nb1 0.000 0.500 0.250
Al1 0.000 0.000 0.500
```

(12)
## BaPtPb2 (SCAN)

Data for BaPtPb2 at its PBEsol-relaxed geometry.

## Properties
**Total moment**: 0.00 μB/cell
**Calculated formation energy**: -89 kJ/mol of formula units

```
data_BaPtPb2
_chemical_formula_sum 'Ba4 Pt4 Pb8'
_cell_length_a 7.551
_cell_length_b 7.551
_cell_length_c 7.551
_cell_angle_alpha 90.00
_cell_angle_beta 90.00
_cell_angle_gamma 90.00
_symmetry_space_group_name_H-M 'F -4 3 m'
_symmetry_Int_Tables_number 216
_symmetry_space_group_name_Hall 'F -4 2 3'
loop_
_atom_site_label
_atom_site_fract_x
_atom_site_fract_y
_atom_site_fract_z
Ba1 0.000 0.000 0.000
Pt1 0.250 0.250 0.750
Pb1 0.000 0.000 0.500
Pb2 0.250 0.250 0.250
```

no.,N(E_F) (states/eV/cell)
1,7.9
2,1.3
3,7.5
4,24.2
5,10.3
6,0.0
7,9.3
8,4.5
9,2.2
10,6.0
11,10.2
12,6.4